1.
Entry from Alexandria via LeMat-Bulk: an optimized crystal structure of Ho4TeSe2S (PBE-GGA).

Output
**Total energy**: -45.69 eV per cell
**Space-group type**: P2/m
**M_tot**: 0.000 μB/f.u.
**Formation energy (no corrections)**: -1643 meV/atom
**Crystal system**: monoclinic
**Theoretical density**: 8335 kg/m3

a b c (Å): 7.094 4.065 7.150
angles (deg): 90.00 109.24 90.00
Fractional positions:
Ho 0.238 0.000 0.218
Ho 0.258 0.500 0.786
Ho 0.742 0.500 0.214
Ho 0.762 0.000 0.782
Te 0.000 0.000 0.500
Se 0.500 0.000 0.000
Se 0.500 0.500 0.500
S 0.000 0.500 0.000

***

2.
Entry from Alexandria via LeMat-Bulk: an optimized crystal structure of P2PbBr (PBE-GGA).

Output
**Energy above the lowest structure with this stoichiometry**: 0.156 eV per atom
**Total energy**: -16.10 eV per cell
**Space-group type**: P2/m
**M_tot**: 0.000 μB/f.u.
**Formation energy (no corrections)**: 25 meV/atom
**Crystal system**: monoclinic
**Theoretical density**: 5027 kg/m3

a b c (Å): 4.813 4.253 6.004
angles (deg): 90.00 110.27 90.00
Fractional positions:
P 0.059 0.000 0.354
P 0.941 0.000 0.646
Pb 0.500 0.500 0.500
Br 0.500 0.500 0.000

***

3.
Entry from Alexandria via LeMat-Bulk: an optimized crystal structure of InRu2Br (PBE-GGA).

Output
**Energy above the lowest structure with this stoichiometry**: 0.215 eV per atom
**Total energy**: -21.05 eV per cell
**Space-group type**: R3m
**M_tot**: 0.000 μB/f.u.
**Formation energy (no corrections)**: 479 meV/atom
**Crystal system**: trigonal
**Theoretical density**: 8548 kg/m3

a b c (Å): 9.997 9.997 9.997
angles (deg): 17.30 17.30 17.30
Fractional positions:
In 0.000 0.000 0.000
Ru 0.479 0.479 0.479
Ru 0.746 0.746 0.746
Br 0.214 0.214 0.214

***

4.
Entry from Alexandria via LeMat-Bulk: an optimized crystal structure of InP2H (PBE-GGA).

Output
**Energy above the lowest structure with this stoichiometry**: 0.440 eV per atom
**Total energy**: -13.32 eV per cell
**Space-group type**: Fm-3m
**M_tot**: 0.000 μB/f.u.
**Crystal system**: cubic
**Theoretical density**: 4682 kg/m3

a b c (Å): 4.468 4.468 4.468
angles (deg): 60.00 60.00 60.00
Fractional positions:
In 0.000 0.000 0.000
P 0.250 0.250 0.250
P 0.750 0.750 0.750
H 0.500 0.500 0.500